#one
The following is a PBE-GGA calculation of a geometry-optimized NpZnRh6 structure, from Alexandria.

## Properties
The density of states at the Fermi level is 10.517 states/eV/f.u. The calculated volume comes out at 15.9 Å³/atom. Its symmetry is P-1. The total magnetization comes out at 0.70 μB/cell.

a = 6.7385 Å, b = 6.7098 Å, c = 5.0636 Å
α = 48.53°, β = 48.52°, γ = 68.69°
With the nearest neighbours (Å) after each atom.
Element x y z (fractional)
1 Np 0.5000 0.5000 0.5000  6 Rh 2.60-2.61
2 Zn 0.0000 0.0000 0.0000  12 Rh 2.70-3.00
3 Rh 0.0338 0.5663 0.6587  6 Rh 2.60-2.77, 1 Np 2.61, 1 Zn 2.70
4 Rh 0.7419 0.9656 0.7260  6 Rh 2.60-2.78, 1 Np 2.61, 1 Zn 2.70
5 Rh 0.5680 0.2584 0.2072  6 Rh 2.60-2.78, 1 Np 2.60, 1 Zn 2.70
6 Rh 0.2581 0.0344 0.2740  6 Rh 2.60-2.78, 1 Np 2.61, 1 Zn 2.70
7 Rh 0.9662 0.4337 0.3413  6 Rh 2.60-2.77, 1 Np 2.61, 1 Zn 2.70
8 Rh 0.4320 0.7416 0.7928  6 Rh 2.60-2.78, 1 Np 2.60, 1 Zn 2.70

---

#two
The following is a PBE-GGA calculation of a geometry-optimized NpZnRh6 structure, from Alexandria.

## Properties
The density of states at the Fermi level is 8.783 states/eV/f.u. The calculated volume comes out at 15.2 Å³/atom. Its symmetry is P4/mmm. The total magnetization comes out at 0.71 μB/cell.

a = 3.9559 Å, b = 5.5371 Å, c = 5.5371 Å
α = 89.99°, β = 90.00°, γ = 90.00°
With the nearest neighbours (Å) after each atom.
Element x y z (fractional)
1 Np 0.5000 0.0000 0.0000  12 Rh 2.77-2.79
2 Zn 0.5000 0.5000 0.5000  12 Rh 2.77-2.78
3 Rh 0.0000 0.7486 0.2514  8 Rh 2.75-2.78, 2 Zn 2.78, 2 Np 2.79
4 Rh 0.0000 0.2514 0.7486  8 Rh 2.75-2.78, 2 Zn 2.78, 2 Np 2.79
5 Rh 0.0000 0.7487 0.7487  8 Rh 2.75-2.78, 2 Zn 2.78, 2 Np 2.79
6 Rh 0.0000 0.2513 0.2513  8 Rh 2.75-2.78, 2 Zn 2.78, 2 Np 2.79
7 Rh 0.5000 0.5000 0.0000  2 Np 2.77, 2 Zn 2.77, 8 Rh 2.78
8 Rh 0.5000 0.0000 0.5000  2 Zn 2.77, 2 Np 2.77, 8 Rh 2.78

---

Sorted by energy, starting with the most stable: #two, #one.

---

#one
The following is a PBE-GGA calculation of a geometry-optimized Zr2NpRh structure, from Alexandria.

## Properties
The density of states at the Fermi level is 14.968 states/eV/f.u. The calculated volume comes out at 19.8 Å³/atom. Its symmetry is Fm-3m. The total magnetization comes out at 3.81 μB/cell.

a = 4.8185 Å, b = 4.8185 Å, c = 4.8185 Å
α = 60.00°, β = 60.00°, γ = 60.00°
With the nearest neighbours (Å) after each atom.
Element x y z (fractional)
1 Np 0.0000 0.0000 0.0000  8 Zr 2.95
2 Rh 0.5000 0.5000 0.5000  8 Zr 2.95
3 Zr 0.2500 0.2500 0.2500  4 Np 2.95, 4 Rh 2.95
4 Zr 0.7500 0.7500 0.7500  4 Rh 2.95, 4 Np 2.95

---

#two
The following is a PBE-GGA calculation of a geometry-optimized Zr2NpRh structure, from Alexandria.

## Properties
The density of states at the Fermi level is 7.383 states/eV/f.u. The calculated volume comes out at 19.7 Å³/atom. Its symmetry is P4/mmm. The total magnetization comes out at 3.95 μB/cell.

a = 3.1553 Å, b = 5.0014 Å, c = 5.0014 Å
α = 90.00°, β = 90.00°, γ = 90.00°
With the nearest neighbours (Å) after each atom.
Element x y z (fractional)
1 Np 0.5000 0.5000 0.5000  8 Zr 2.96, 2 Np 3.16
2 Rh 0.5000 0.0000 0.0000  8 Zr 2.96, 2 Rh 3.16
3 Zr 0.0000 0.0000 0.5000  4 Rh 2.96, 4 Np 2.96, 2 Zr 3.16
4 Zr 0.0000 0.5000 0.0000  4 Rh 2.96, 4 Np 2.96, 2 Zr 3.16

---

#three
The following is a PBE-GGA calculation of a geometry-optimized Zr2NpRh structure, from Alexandria.

## Properties
The density of states at the Fermi level is 7.523 states/eV/f.u. The calculated volume comes out at 20.5 Å³/atom. Its symmetry is P4/mmm. The total magnetization comes out at 3.86 μB/cell.

a = 3.2481 Å, b = 3.2481 Å, c = 7.7722 Å
α = 90.00°, β = 90.00°, γ = 90.00°
With the nearest neighbours (Å) after each atom.
Element x y z (fractional)
1 Np 0.5000 0.5000 0.5000  8 Zr 3.18, 4 Np 3.25
2 Rh 0.5000 0.5000 0.0000  8 Zr 2.85
3 Zr 0.0000 0.0000 0.7825  4 Rh 2.85, 4 Np 3.18
4 Zr 0.0000 0.0000 0.2175  4 Rh 2.85, 4 Np 3.18

---

Sorted by energy, starting with the most stable: #three, #two, #one.